# LiReRh2Cl GGA-PBE optimized geometry
# polymorph energy (0 for the lowest one): 0.101 eV per formula unit
# ρ: 8.5 g/cm³
# calculated total energy: -5.19 eV per atom
# energy relative to the elements, uncorrected: 0.994 eV per atom
data_LiReRh2Cl
_symmetry_space_group_name_H-M 'P 4/m m m'
_symmetry_Int_Tables_number 123
_symmetry_space_group_name_Hall '-P 4 2'
_cell_length_a 4.428
_cell_length_b 4.428
_cell_length_c 4.324
_cell_angle_alpha 90.00
_cell_angle_beta 90.00
_cell_angle_gamma 90.00
loop_
_atom_site_label
_atom_site_type_symbol
_atom_site_fract_x
_atom_site_fract_y
_atom_site_fract_z
_atom_site_occupancy
Li1 Li 0.000 0.000 0.000 1
Re1 Re 0.500 0.500 0.000 1
Rh1 Rh 0.000 0.500 0.500 1
Cl1 Cl 0.500 0.500 0.500 1